Material: MnRhSe2
Method: DFT, PBE
State: relaxed

Calculated values
The calculation puts the raw total energy at -0.218 Ha/atom. The mass density is 7.43 g cm⁻³. Its volume is 70.5 Å³/cell. As for the crystal system: trigonal. The calculation puts the energy above the most stable polymorph in this dataset at 261 meV per atom. For the formation energy without anion corrections, the calculation gives -0.067 eV/atom.

Cell lengths 8.0223, 8.0223, 8.0223 Å; angles 23.23, 23.23, 23.23 degrees
With the nearest neighbours (Å) after each atom.
Sites, in units of the cell vectors:
Se: 0.1017 0.1017 0.1017  1 Rh 2.38, 3 Mn 2.41
Rh: 0.0000 0.0000 0.0000  2 Se 2.38
Se: 0.8983 0.8983 0.8983  1 Rh 2.38, 3 Mn 2.41
Mn: 0.5000 0.5000 0.5000  6 Se 2.41